The following is a GGA-PBE calculation of a relaxed structure of LaHf2Hg2, from the Alexandria database. Values from VASP.

For the excess energy over the best structure of this formula in the dataset, the calculation gives 0.00 kcal/mol of atoms. For the density of states at the Fermi level, the calculation gives 8.93 states/eV per cell. The value obtained for the spin magnetization is 0.043 μB per cell.

Structure (Quantum ESPRESSO input):
```
&SYSTEM
  ibrav = 0, nat = 10, ntyp = 3
/
ATOMIC_SPECIES
Hg 200.59 Hg.upf
La 138.91 La.upf
Hf 178.49 Hf.upf
CELL_PARAMETERS angstrom
8.7511 0.0000 0.0000
0.0000 8.7511 0.0000
0.0000 0.0000 3.1253
ATOMIC_POSITIONS crystal
Hg 0.1733 0.6733 0.5000
La 0.0000 0.0000 0.0000
Hf 0.1228 0.3772 0.0000
Hg 0.8267 0.3267 0.5000
Hf 0.6228 0.1228 0.0000
Hf 0.3772 0.8772 0.0000
Hf 0.8772 0.6228 0.0000
Hg 0.6733 0.8267 0.5000
La 0.5000 0.5000 0.0000
Hg 0.3267 0.1733 0.5000
```